(1)
{"formula": "As3Os", "functional": "meta-GGA SCAN", "state": "PBEsol geometry", "cell": [[-2.0279, 1.5475, 2.8908], [-3.8165, 0.4147, -2.8992], [1.7547, -4.4538, 1.0443]], "species": ["As", "As", "As", "Os"], "frac_coords": [[0.6852, 0.6810, 0.3704], [0.3148, 0.3106, 0.6296], [0.5000, 0.0766, 0.0000], [0.0000, 0.7651, 0.0000]], "total_magnetization_mub_per_fu": 0.00, "e_above_lowest_polymorph_mev_per_atom": 0.0, "e_tot_ev_per_atom": -32.904}

=====

(2)
{"formula": "As3Os", "functional": "meta-GGA SCAN", "state": "PBEsol geometry", "cell": [[-3.9111, 2.0030, 1.9386], [-2.3560, -4.1605, -0.4546], [1.4898, -1.3212, 4.3706]], "species": ["As", "As", "As", "Os"], "frac_coords": [[0.5000, 0.0000, 0.0000], [0.0000, 0.5000, 0.0000], [0.0000, 0.0000, 0.5000], [0.0000, 0.0000, 0.0000]], "total_magnetization_mub_per_fu": 0.01, "e_above_lowest_polymorph_mev_per_atom": 790.8, "e_tot_ev_per_atom": -32.113}

=====

(3)
{"formula": "As2Os", "functional": "meta-GGA SCAN", "state": "PBEsol geometry", "cell": [[-2.0447, 1.7379, 1.3614], [1.9104, -1.5408, 4.8362], [3.9835, 4.7369, -0.0644]], "species": ["As", "As", "As", "As", "Os", "Os"], "frac_coords": [[0.5000, 0.3295, 0.8648], [0.5000, 0.6705, 0.1352], [0.0000, 0.1705, 0.3648], [0.0000, 0.8295, 0.6352], [0.5000, 0.5000, 0.5000], [0.0000, 0.0000, 0.0000]], "total_magnetization_mub_per_fu": 0.00, "e_tot_ev_per_atom": -37.767}

=====

(4)
{"formula": "As3Os", "functional": "meta-GGA SCAN", "state": "PBEsol geometry", "cell": [[3.1092, 0.0000, 0.0000], [0.0000, 4.6042, 0.0549], [0.0000, -1.0890, 4.4739]], "species": ["As", "As", "As", "Os"], "frac_coords": [[0.5000, 0.0000, 0.5000], [0.5000, 0.5000, 0.0000], [0.0000, 0.5000, 0.5000], [0.0000, 0.0000, 0.0000]], "total_magnetization_mub_per_fu": 0.00, "e_above_lowest_polymorph_mev_per_atom": 452.4, "e_tot_ev_per_atom": -32.452}

=====

(5)
{"formula": "As3Os", "functional": "meta-GGA SCAN", "state": "PBEsol geometry", "cell": [[-1.6683, 3.8902, 1.3942], [0.3467, -2.7918, 3.4564], [4.0301, 0.6653, -1.7823]], "species": ["As", "As", "As", "Os"], "frac_coords": [[0.0000, 0.5000, 0.5000], [0.5000, 0.5000, 0.0000], [0.5000, 0.0000, 0.5000], [0.0000, 0.0000, 0.0000]], "total_magnetization_mub_per_fu": 0.00, "e_above_lowest_polymorph_mev_per_atom": 212.4, "e_tot_ev_per_atom": -32.692}

=====

(6)
{"formula": "AsOs2", "functional": "meta-GGA SCAN", "state": "PBEsol geometry", "cell": [[2.8745, 0.0000, 0.0000], [0.0000, 4.3130, 0.0000], [0.0000, -2.1565, 3.7351]], "species": ["As", "Os", "Os"], "frac_coords": [[0.0000, 0.0000, 0.0000], [0.5000, 0.6667, 0.3333], [0.5000, 0.3333, 0.6667]], "total_magnetization_mub_per_fu": 0.00, "e_tot_ev_per_atom": -53.713}

=====

(7)
{"formula": "As4Os3", "functional": "meta-GGA SCAN", "state": "PBEsol geometry", "cell": [[-0.7000, -1.5988, 2.8789], [-2.7109, -1.3912, -1.4318], [7.1242, -6.0864, -3.6164]], "species": ["As", "As", "As", "As", "Os", "Os", "Os"], "frac_coords": [[0.8342, 0.8342, 0.6684], [0.1658, 0.1658, 0.3316], [0.5682, 0.5682, 0.1364], [0.4318, 0.4318, 0.8636], [0.0000, 0.0000, 0.0000], [0.7030, 0.7030, 0.4060], [0.2970, 0.2970, 0.5940]], "total_magnetization_mub_per_fu": 0.17, "e_tot_ev_per_atom": -41.827}

=====

(8)
{"formula": "As2Os", "functional": "meta-GGA SCAN", "state": "PBEsol geometry", "cell": [[3.0702, 0.0000, 0.0000], [0.0000, 7.2571, 0.0000], [0.0000, -3.6285, 6.2848]], "species": ["As", "As", "As", "As", "As", "As", "Os", "Os", "Os"], "frac_coords": [[0.0000, 0.7128, 0.7128], [0.0000, 0.0000, 0.2872], [0.0000, 0.2872, 0.0000], [0.5000, 0.3887, 0.3887], [0.5000, 0.0000, 0.6113], [0.5000, 0.6113, 0.0000], [0.0000, 0.6667, 0.3333], [0.0000, 0.3333, 0.6667], [0.5000, 0.0000, 0.0000]], "total_magnetization_mub_per_fu": 0.00, "e_tot_ev_per_atom": -37.174}